No. 1
# LaCeSbSe, optimized geometry, DFT PBE-GGA
data_LaCeSbSe
_chemical_formula_sum 'La1 Ce1 Sb1 Se1'
_space_group_name_H-M_alt 'P 1 2/m 1'
_space_group_IT_number 10
_cell_length_a 4.461
_cell_length_b 4.450
_cell_length_c 6.268
_cell_angle_alpha 90.00
_cell_angle_beta 90.14
_cell_angle_gamma 90.00
loop_
_space_group_symop_operation_xyz
'x,y,z'
'-x,-y,-z'
'-x,y,-z'
'x,-y,z'
loop_
_atom_site_label
_atom_site_type_symbol
_atom_site_fract_x
_atom_site_fract_y
_atom_site_fract_z
_atom_site_occupancy
La1 La 0.000 0.000 0.000 1
Ce1 Ce 0.500 0.500 0.500 1
Sb1 Sb 0.500 0.500 0.000 1
Se1 Se 0.000 0.000 0.500 1
# - VASP energy (eV per atom) = -6.1131
# - formation energy from raw total energies (eV per atom) = -1.496
# - total magnetic moment (μB/cell) = 1.19

=====

No. 2
# YSiPt2, optimized geometry, DFT PBE-GGA
data_YSiPt2
_chemical_formula_sum 'Y4 Si4 Pt8'
_space_group_name_H-M_alt 'I -4 2 d'
_space_group_IT_number 122
_space_group_name_Hall 'I -4 2bw'
_cell_length_a 4.972
_cell_length_b 4.972
_cell_length_c 14.844
_cell_angle_alpha 90.00
_cell_angle_beta 90.00
_cell_angle_gamma 90.00
loop_
_atom_site_label
_atom_site_type_symbol
_atom_site_fract_x
_atom_site_fract_y
_atom_site_fract_z
_atom_site_occupancy
Y1 Y 0.000 0.000 0.000 1
Si1 Si 0.000 0.000 0.500 1
Pt1 Pt 0.141 0.250 0.625 1
# - VASP energy (eV per atom) = -6.6964
# - formation energy from raw total energies (eV per atom) = -0.704
# - total magnetic moment (μB/cell) = 0.00

=====

No. 3
# ZnAgTe, optimized geometry, DFT PBE-GGA
data_ZnAgTe
_chemical_formula_sum 'Zn1 Ag1 Te1'
_space_group_name_H-M_alt 'P 3 m 1'
_space_group_IT_number 156
_cell_length_a 4.2649
_cell_length_b 4.2649
_cell_length_c 4.3305
_cell_angle_alpha 90.00
_cell_angle_beta 90.00
_cell_angle_gamma 120.00
loop_
_space_group_symop_operation_xyz
'x,y,z'
'-y,x-y,z'
'-x+y,-x,z'
'-y,-x,z'
'-x+y,y,z'
'x,x-y,z'
loop_
_atom_site_label
_atom_site_type_symbol
_atom_site_fract_x
_atom_site_fract_y
_atom_site_fract_z
_atom_site_occupancy
Zn1 Zn 0.0000 0.0000 0.0000 1
Ag1 Ag 0.6667 0.3333 0.2993 1
Te1 Te 0.3333 0.6667 0.6800 1
# - VASP energy (eV per atom) = -2.3771
# - formation energy from raw total energies (eV per atom) = 0.045
# - total magnetic moment (μB/cell) = 0.00

=====

No. 4
# LaHgTe2, optimized geometry, DFT PBE-GGA
data_LaHgTe2
_chemical_formula_sum 'La3 Hg3 Te6'
_space_group_name_H-M_alt 'R -3 m'
_space_group_IT_number 166
_space_group_name_Hall '-R 3 2"'
_cell_length_a 4.7241
_cell_length_b 4.7241
_cell_length_c 27.8863
_cell_angle_alpha 90.00
_cell_angle_beta 90.00
_cell_angle_gamma 120.00
loop_
_atom_site_label
_atom_site_type_symbol
_atom_site_fract_x
_atom_site_fract_y
_atom_site_fract_z
_atom_site_occupancy
La1 La 0.0000 0.0000 0.0000 1
Hg1 Hg 0.0000 0.0000 0.5000 1
Te1 Te 0.0000 0.0000 0.3954 1
# - VASP energy (eV per atom) = -3.7176
# - formation energy from raw total energies (eV per atom) = -0.839
# - total magnetic moment (μB/cell) = 0.00